No. 1
K2PbO4 (GGA-PBE, optimized geometry); energy = -32.38 eV/f.u.; energy relative to the elements, uncorrected = -0.9495 eV per atom
1.0
5.747 0.000 0.000
0.000 3.473 0.000
-2.694 0.000 6.353
K Pb O
2 1 4
direct
0.181 0.000 0.342
0.819 0.000 0.658
0.500 0.500 0.000
0.062 0.500 0.927
0.411 0.000 0.769
0.589 0.000 0.231
0.938 0.500 0.073



No. 2
Ga2SnSb (GGA-PBE, optimized geometry); distance to the lowest polymorph of the same formula = 106 meV per atom; energy = -13.76 eV/f.u.; energy relative to the elements, uncorrected = 0.1045 eV per atom
1.0
0.000 3.605 3.605
3.605 0.000 3.605
3.605 3.605 0.000
Ga Sn Sb
2 1 1
direct
0.250 0.250 0.250
0.750 0.750 0.750
0.000 0.000 0.000
0.500 0.500 0.500



No. 3
Ac2Cu6PdPt (GGA-PBE, optimized geometry); energy = -43.75 eV/f.u.; ΔH_f (0 K) = 0.28 eV/f.u.
1.0
-3.381 3.381 4.774
3.381 -3.381 4.774
3.381 3.381 -4.774
Ac Cu Pd Pt
2 6 1 1
direct
0.250 0.750 0.500
0.750 0.250 0.500
0.249 0.249 0.000
0.249 0.249 0.499
0.249 0.751 0.000
0.751 0.249 0.000
0.751 0.751 0.000
0.751 0.751 0.501
0.000 0.000 0.000
0.500 0.500 0.000



No. 4
DyBeGa2Au4 (GGA-PBE, optimized geometry); energy = -30.58 eV/f.u.; ΔH_f (0 K) = -3.09 eV/f.u.
1.0
2.215 1.279 8.500
-2.215 1.279 8.500
0.000 -2.558 8.500
Dy Be Ga Au
1 1 2 4
direct
0.000 0.000 0.000
0.500 0.500 0.500
0.252 0.252 0.252
0.748 0.748 0.748
0.140 0.140 0.140
0.401 0.401 0.401
0.599 0.599 0.599
0.860 0.860 0.860



No. 5
Ba4CrTe (GGA-PBE, optimized geometry); energy = -17.88 eV/f.u.; energy relative to the elements, uncorrected = 0.4301 eV per atom
1.0
0.000 5.166 5.166
5.166 0.000 5.166
5.166 5.166 0.000
Ba Cr Te
4 1 1
direct
0.376 0.376 0.376
0.376 0.376 0.872
0.376 0.872 0.376
0.872 0.376 0.376
0.000 0.000 0.000
0.750 0.750 0.750



No. 6
Th6GeBi3Sb2 (GGA-PBE, optimized geometry); energy = -77.91 eV/f.u.; energy relative to the elements, uncorrected = -0.7404 eV per atom
1.0
9.884 -2.245 0.000
9.884 2.245 0.000
-2.178 0.000 8.834
Th Ge Bi Sb
6 1 3 2
direct
0.000 0.000 0.224
0.000 0.000 0.776
0.332 0.332 0.424
0.345 0.345 0.917
0.655 0.655 0.083
0.668 0.668 0.576
0.500 0.500 0.000
0.171 0.171 0.835
0.500 0.500 0.500
0.829 0.829 0.165
0.167 0.167 0.333
0.833 0.833 0.667